Entry 1:
The following is a PBE-GGA calculation of a relaxed Pm2Sb3Pd4Au crystal, from the Alexandria database.

a b c (Å): 4.4755 4.4755 10.9944
angles (deg): 90.00 90.00 90.00
Closest atoms and distances in Å follow each position.
Element x y z (fractional)
Pd  0.5000  0.5000  0.0000  4 Sb 2.67
Pm  0.5000  0.0000  0.2472  6 Sb 3.40-3.57, 8 Pd 3.41-3.52, 2 Au 3.57
Sb  0.0000  0.5000  0.1332  5 Pd 2.54-2.67
Pm  0.0000  0.5000  0.7528  6 Sb 3.40-3.57, 8 Pd 3.41-3.52, 2 Au 3.57
Pd  0.0000  0.0000  0.0000  4 Sb 2.67
Sb  0.5000  0.0000  0.8668  5 Pd 2.54-2.67
Au  0.5000  0.5000  0.5000  4 Pd 2.69
Sb  0.0000  0.0000  0.5000  4 Pd 2.69
Pd  0.5000  0.0000  0.6361  3 Sb 2.54-2.69, 2 Au 2.69
Pd  0.0000  0.5000  0.3639  3 Sb 2.54-2.69, 2 Au 2.69

Calculated values
**Crystal system**: tetragonal
**Symmetry**: P-4m2
**N(E_F)**: 5.70 states/eV/f.u.
**Energy relative to the elements, uncorrected**: -0.761 eV per atom

Entry 2:
The following is a PBE-GGA calculation of a relaxed Ca2Zn2SnRh5 crystal, from the Alexandria database.

a b c (Å): 3.3917 10.1477 10.1477
angles (deg): 90.00 90.00 90.00
Closest atoms and distances in Å follow each position.
Element x y z (fractional)
Sn  0.0000  0.0000  0.0000  8 Rh 2.73
Rh  0.5000  0.7015  0.4385  2 Zn 2.52, 2 Sn 2.73
Sn  0.0000  0.5000  0.5000  8 Rh 2.73
Ca  0.0000  0.6732  0.1732  3 Zn 2.86-3.08, 10 Rh 3.01-3.19
Zn  0.0000  0.3728  0.1272  6 Rh 2.49-2.52
Ca  0.0000  0.1732  0.3268  3 Zn 2.86-3.08, 10 Rh 3.01-3.19
Zn  0.0000  0.8728  0.3728  6 Rh 2.49-2.52
Rh  0.5000  0.9385  0.2015  2 Zn 2.52, 2 Sn 2.73
Rh  0.5000  0.2015  0.0615  2 Zn 2.52, 2 Sn 2.73
Ca  0.0000  0.3268  0.8268  3 Zn 2.86-3.08, 10 Rh 3.01-3.19
Rh  0.5000  0.7985  0.9385  2 Zn 2.52, 2 Sn 2.73
Ca  0.0000  0.8268  0.6732  3 Zn 2.86-3.08, 10 Rh 3.01-3.19
Zn  0.0000  0.1272  0.6272  6 Rh 2.49-2.52
Rh  0.5000  0.4385  0.2985  2 Zn 2.52, 2 Sn 2.73
Rh  0.5000  0.5615  0.7015  2 Zn 2.52, 2 Sn 2.73
Rh  0.5000  0.0615  0.7985  2 Zn 2.52, 2 Sn 2.73
Rh  0.5000  0.2985  0.5615  2 Zn 2.52, 2 Sn 2.73
Rh  0.5000  0.5000  0.0000  4 Zn 2.49
Rh  0.5000  0.0000  0.5000  4 Zn 2.49
Zn  0.0000  0.6272  0.8728  6 Rh 2.49-2.52

Calculated values
**Crystal system**: tetragonal
**Formation energy**: -0.433 eV/atom
**Symmetry**: P4/mbm
**N(E_F)**: 5.11 states/eV/f.u.

Entry 3:
The following is a PBE-GGA calculation of a relaxed Hf2ScCoNi crystal, from the Alexandria database.

a b c (Å): 4.7510 4.6592 4.7510
angles (deg): 90.00 90.00 90.00
Closest atoms and distances in Å follow each position.
Element x y z (fractional)
Hf  0.5000  0.0000  0.0000  2 Ni 2.38
Hf  0.0000  0.0000  0.5000  2 Ni 2.38
Ni  0.0000  0.0000  0.0000  2 Sc 2.33, 4 Hf 2.38
Sc  0.0000  0.5000  0.0000  2 Ni 2.33
Co  0.5000  0.5000  0.5000  8 Hf 3.33, 4 Sc 3.36

Calculated values
**Crystal system**: tetragonal
**Formation energy**: 0.522 eV/atom
**Symmetry**: P4/mmm
**N(E_F)**: 9.07 states/eV/f.u.

Entry 4:
The following is a PBE-GGA calculation of a relaxed Re2SeCl crystal, from the Alexandria database.

a b c (Å): 3.1061 3.1061 6.3719
angles (deg): 90.00 90.00 90.00
Closest atoms and distances in Å follow each position.
Element x y z (fractional)
Re  0.0000  0.0000  0.4740  4 Se 2.62, 4 Cl 2.81, 1 Re 2.85
Re  0.0000  0.0000  0.0260  4 Se 2.62, 4 Cl 2.81, 1 Re 2.85
Cl  0.5000  0.5000  0.7500  8 Re 2.81, 4 Cl 3.11
Se  0.5000  0.5000  0.2500  8 Re 2.62

Calculated values
**Crystal system**: tetragonal
**Symmetry**: P4/mmm
**N(E_F)**: 2.61 states/eV/f.u.
**E above lowest polymorph**: 1148 meV/atom
**Energy relative to the elements, uncorrected**: 1.132 eV per atom

Entry 5:
The following is a PBE-GGA calculation of a relaxed HgAsSe2 crystal, from the Alexandria database.

a b c (Å): 3.2263 3.2263 9.6134
angles (deg): 90.00 90.00 90.00
Closest atoms and distances in Å follow each position.
Element x y z (fractional)
Se  0.5000  0.5000  0.3203  4 As 2.62
Hg  0.5000  0.5000  0.7356  4 Hg 3.23, 4 Se 3.34, 4 As 3.54
Se  0.0000  0.0000  0.9900  4 Se 3.23, 4 Hg 3.34
As  0.0000  0.0000  0.4541  4 Se 2.62

Calculated values
**Crystal system**: tetragonal
**Symmetry**: P4mm
**N(E_F)**: 0.94 states/eV/f.u.
**E above lowest polymorph**: 391 meV/atom
**Energy relative to the elements, uncorrected**: 0.324 eV per atom

Entry 6:
The following is a PBE-GGA calculation of a relaxed Ce2BeB2Rh5 crystal, from the Alexandria database.

a b c (Å): 3.2607 9.3797 9.3797
angles (deg): 90.00 90.00 90.00
Closest atoms and distances in Å follow each position.
Element x y z (fractional)
Rh  0.5000  0.0698  0.7859  2 B 2.29
B  0.0000  0.6227  0.8773  6 Rh 2.29-2.30
Rh  0.5000  0.2859  0.5698  2 B 2.29
Rh  0.5000  0.7859  0.9302  2 B 2.29
Be  0.0000  0.0000  0.0000  8 Rh 2.67
Rh  0.5000  0.7141  0.4302  2 B 2.29
Rh  0.5000  0.5698  0.7141  2 B 2.29
B  0.0000  0.3773  0.1227  6 Rh 2.29-2.30
Rh  0.5000  0.9302  0.2141  2 B 2.29
Rh  0.5000  0.0000  0.5000  4 B 2.30
Rh  0.5000  0.2141  0.0698  2 B 2.29
Rh  0.5000  0.4302  0.2859  2 B 2.29
B  0.0000  0.1227  0.6227  6 Rh 2.29-2.30
Ce  0.0000  0.3234  0.8234  3 B 2.66-2.85, 6 Rh 2.85-2.91
B  0.0000  0.8773  0.3773  6 Rh 2.29-2.30
Ce  0.0000  0.1766  0.3234  3 B 2.66-2.85, 6 Rh 2.85-2.91
Be  0.0000  0.5000  0.5000  8 Rh 2.67
Ce  0.0000  0.6766  0.1766  3 B 2.66-2.85, 6 Rh 2.85-2.91
Rh  0.5000  0.5000  0.0000  4 B 2.30
Ce  0.0000  0.8234  0.6766  3 B 2.66-2.85, 6 Rh 2.85-2.91

Calculated values
**Crystal system**: tetragonal
**Formation energy**: -0.621 eV/atom
**Symmetry**: P4/mbm
**N(E_F)**: 6.75 states/eV/f.u.

Entry 7:
The following is a PBE-GGA calculation of a relaxed Mn3NiN crystal, from the Alexandria database.

a b c (Å): 2.7649 5.2345 7.5750
angles (deg): 90.00 90.00 105.28
Closest atoms and distances in Å follow each position.
Element x y z (fractional)
Mn  0.3690  0.7377  0.9600  2 N 1.94
Ni  0.2555  0.5131  0.2500  8 Mn 2.46-2.53
Mn  0.9662  0.9328  0.2500  2 N 1.92
Ni  0.7446  0.4870  0.7500  8 Mn 2.46-2.53
Mn  0.3690  0.7377  0.5400  2 N 1.94
N  0.0000  0.0000  0.5000  6 Mn 1.92-1.94
Mn  0.6310  0.2623  0.4600  2 N 1.94
Mn  0.0338  0.0672  0.7500  2 N 1.92
N  0.0000  0.0000  0.0000  6 Mn 1.92-1.94
Mn  0.6310  0.2623  0.0400  2 N 1.94

Calculated values
**Crystal system**: monoclinic
**Symmetry**: P2_1/m
**N(E_F)**: 5.87 states/eV/f.u.
**Energy relative to the elements, uncorrected**: -0.058 eV per atom

Entry 8:
The following is a PBE-GGA calculation of a relaxed ZrTe2I crystal, from the Alexandria database.

a b c (Å): 9.8085 9.8085 9.8085
angles (deg): 24.12 24.12 24.12
Closest atoms and distances in Å follow each position.
Element x y z (fractional)
I  0.0000  0.0000  0.0000  2 Te 3.03
Te  0.1062  0.1062  0.1062  3 Zr 2.93, 1 I 3.03
Zr  0.5000  0.5000  0.5000  6 Te 2.93
Te  0.8938  0.8938  0.8938  3 Zr 2.93, 1 I 3.03

Calculated values
**Crystal system**: trigonal
**Symmetry**: R-3m
**N(E_F)**: 2.85 states/eV/f.u.
**E above lowest polymorph**: 0 meV/atom
**Energy relative to the elements, uncorrected**: -0.550 eV per atom

It is found that the theoretical density values, taken in the order of the records, are 9.64; 8.03; 8.20; 13.15; 7.19; 9.56; 7.46; 5.68 g/cm³.